Here is a relaxed structure of MnAu3 from the Alexandria database. Energies are from GGA-PBEsol.

The space group is P4/mmm (No. 123) and the conventional cell measures 3.296, 3.296 and 5.991 Å, with angles of 90.00, 90.00 and 90.00 degrees. The asymmetric unit holds Mn at (0.000, 0.000, 0.000), Au at (0.000, 0.000, 0.500) and Au at (0.500, 0.500, 0.237).

The calculation puts the energy of formation from the pure elements at 0.00 eV per atom. For the spin magnetization, the calculation gives 4.09 μB per formula unit.

=====

Here is a relaxed structure of MnAu3 from the Alexandria database. Energies are from GGA-PBEsol.

The space group is I4/mmm (No. 139) and the conventional cell measures 4.019, 4.019 and 8.028 Å, with angles of 90.00, 90.00 and 90.00 degrees. The asymmetric unit holds Mn at (0.000, 0.000, 0.000), Au at (0.000, 0.000, 0.500) and Au at (0.000, 0.500, 0.250).

The calculation puts the energy of formation from the pure elements at -0.02 eV per atom. For the spin magnetization, the calculation gives 4.20 μB per formula unit.